The following is a SCAN calculation of a crystal of Li2MgPb relaxed with PBEsol, from Alexandria.

Cell: 9.888 9.888 9.888 Å, 18.96 18.96 18.96°
Atoms (fractional coordinates):
Li  0.247  0.247  0.247
Li  0.753  0.753  0.753
Mg  0.000  0.000  0.000
Pb  0.500  0.500  0.500

Calculated values
crystal system = trigonal
SG = R-3m (166)
energy of formation = -0.14 eV/atom